Density functional theory data (GGA-PBE) for a geometry-optimized Ba5ErBi4 structure.

a b c (Å): 11.6425 11.6425 9.2177
angles (deg): 113.12 113.12 24.86
Element x y z (fractional)
Ba1 0.0000 0.0000 0.0000
Ba2 0.3353 0.3353 0.0820
Ba3 0.3349 0.3349 0.5852
Ba4 0.6651 0.6651 0.4148
Ba5 0.6647 0.6647 0.9180
Er1 0.0000 0.0000 0.5000
Bi1 0.1903 0.1903 0.6915
Bi2 0.5002 0.5002 0.2765
Bi3 0.4998 0.4998 0.7235
Bi4 0.8097 0.8097 0.3085

symmetry = C2/m, No. 12
raw total energy = -3.685 eV per atom
crystal system = monoclinic

Density functional theory data (GGA-PBE) for a geometry-optimized Ba3Li2Er2Bi4 structure.

a b c (Å): 5.0109 5.0109 18.2565
angles (deg): 90.00 90.00 120.00
Element x y z (fractional)
Ba1 0.0000 0.0000 0.0000
Ba2 0.0000 0.0000 0.2561
Ba3 0.0000 0.0000 0.7439
Li1 0.3333 0.6667 0.1265
Li2 0.6667 0.3333 0.8735
Er1 0.3333 0.6667 0.5590
Er2 0.6667 0.3333 0.4410
Bi1 0.3333 0.6667 0.3789
Bi2 0.3333 0.6667 0.8722
Bi3 0.6667 0.3333 0.1278
Bi4 0.6667 0.3333 0.6211

symmetry = P-3m1, No. 164
raw total energy = -3.830 eV per atom
crystal system = trigonal

Density functional theory data (GGA-PBE) for a geometry-optimized BaLiErBi2 structure.

a b c (Å): 8.2004 8.2004 8.2004
angles (deg): 146.01 146.01 48.83
Element x y z (fractional)
Ba1 0.0000 0.0000 0.0000
Li1 0.2500 0.7500 0.5000
Er1 0.7500 0.2500 0.5000
Bi1 0.3735 0.3735 0.0000
Bi2 0.6265 0.6265 0.0000

symmetry = I-4m2, No. 119
raw total energy = -3.977 eV per atom
crystal system = tetragonal

Density functional theory data (GGA-PBE) for a geometry-optimized Ba3ErBi2O9 structure.

a b c (Å): 6.1817 6.1817 7.5720
angles (deg): 90.00 90.00 120.00
Element x y z (fractional)
Ba1 0.0000 0.0000 0.0000
Ba2 0.3333 0.6667 0.6669
Ba3 0.6667 0.3333 0.3331
Er1 0.0000 0.0000 0.5000
Bi1 0.3333 0.6667 0.1720
Bi2 0.6667 0.3333 0.8280
O1 0.0000 0.5000 0.0000
O2 0.1685 0.3369 0.3317
O3 0.1685 0.8315 0.3317
O4 0.3369 0.1685 0.6683
O5 0.5000 0.0000 0.0000
O6 0.5000 0.5000 0.0000
O7 0.6631 0.8315 0.3317
O8 0.8315 0.1685 0.6683
O9 0.8315 0.6631 0.6683

E_form (uncorrected) = -2.200 eV per atom
symmetry = P-3m1, No. 164
raw total energy = -6.382 eV per atom
crystal system = trigonal

Density functional theory data (GGA-PBE) for a geometry-optimized BaEr2Bi2O7 structure.

a b c (Å): 9.5459 9.5459 9.5459
angles (deg): 155.25 46.44 141.35
Element x y z (fractional)
Ba1 0.0000 0.0000 0.0000
Er1 0.4343 0.0409 0.3934
Er2 0.6475 0.0409 0.6066
Bi1 0.3381 0.6124 0.7256
Bi2 0.8868 0.6124 0.2744
O1 0.1070 0.7032 0.4038
O2 0.2284 0.9679 0.2604
O3 0.2994 0.7032 0.5962
O4 0.5047 0.6446 0.8602
O5 0.7036 0.2036 0.5000
O6 0.7075 0.9679 0.7396
O7 0.7844 0.6446 0.1398

E_form (uncorrected) = -2.332 eV per atom
symmetry = Imm2, No. 44
raw total energy = -6.792 eV per atom
crystal system = orthorhombic

Density functional theory data (GGA-PBE) for a geometry-optimized Ba2ErBiO5 structure.

a b c (Å): 8.1347 8.1347 11.3299
angles (deg): 90.00 90.00 153.84
Element x y z (fractional)
Ba1 0.1107 0.8893 0.5000
Ba2 0.1330 0.8670 0.1142
Ba3 0.8670 0.1330 0.6142
Ba4 0.8893 0.1107 0.0000
Er1 0.2209 0.7791 0.8360
Er2 0.7791 0.2209 0.3360
Bi1 0.4603 0.5397 0.2830
Bi2 0.5397 0.4603 0.7830
O1 0.0789 0.9211 0.8815
O2 0.2737 0.7263 0.4617
O3 0.3256 0.6744 0.2151
O4 0.3553 0.6447 0.8060
O5 0.4973 0.5027 0.0933
O6 0.5027 0.4973 0.5933
O7 0.6447 0.3553 0.3060
O8 0.6744 0.3256 0.7151
O9 0.7263 0.2737 0.9617
O10 0.9211 0.0789 0.3815

E_form (uncorrected) = -2.411 eV per atom
symmetry = Cmc2_1, No. 36
raw total energy = -6.531 eV per atom
crystal system = orthorhombic

Density functional theory data (GGA-PBE) for a geometry-optimized Ba3ErBi2O6 structure.

a b c (Å): 6.1333 6.1333 7.2349
angles (deg): 90.00 90.00 120.00
Element x y z (fractional)
Ba1 0.0000 0.0000 0.0000
Ba2 0.3333 0.6667 0.6269
Ba3 0.6667 0.3333 0.3731
Er1 0.0000 0.0000 0.5000
Bi1 0.3333 0.6667 0.1247
Bi2 0.6667 0.3333 0.8753
O1 0.1710 0.3421 0.3217
O2 0.1710 0.8290 0.3217
O3 0.3421 0.1710 0.6783
O4 0.6579 0.8290 0.3217
O5 0.8290 0.1710 0.6783
O6 0.8290 0.6579 0.6783

E_form (uncorrected) = -2.144 eV per atom
symmetry = P-3m1, No. 164
raw total energy = -6.131 eV per atom
crystal system = trigonal

Density functional theory data (GGA-PBE) for a geometry-optimized Ba2ErBiSe5 structure.

a b c (Å): 9.4593 9.4593 14.1204
angles (deg): 90.00 90.00 153.05
Element x y z (fractional)
Ba1 0.1056 0.8944 0.5000
Ba2 0.1419 0.8581 0.1265
Ba3 0.8581 0.1419 0.6265
Ba4 0.8944 0.1056 0.0000
Er1 0.2146 0.7854 0.8441
Er2 0.7854 0.2146 0.3441
Bi1 0.4660 0.5340 0.2735
Bi2 0.5340 0.4660 0.7735
Se1 0.0630 0.9370 0.8940
Se2 0.2788 0.7212 0.4762
Se3 0.3170 0.6830 0.2088
Se4 0.3666 0.6334 0.8169
Se5 0.4893 0.5107 0.5834
Se6 0.5107 0.4893 0.0834
Se7 0.6334 0.3666 0.3169
Se8 0.6830 0.3170 0.7088
Se9 0.7212 0.2788 0.9762
Se10 0.9370 0.0630 0.3940

E_form (uncorrected) = -1.518 eV per atom
symmetry = Cmc2_1, No. 36
raw total energy = -4.820 eV per atom
crystal system = orthorhombic

Density functional theory data (GGA-PBE) for a geometry-optimized Ba3ErTh2Bi6 structure.

a b c (Å): 8.2003 8.2003 8.5880
angles (deg): 99.17 99.17 120.06
Element x y z (fractional)
Ba1 0.0000 0.0000 0.0000
Ba2 0.3320 0.6680 0.0000
Ba3 0.6680 0.3320 0.0000
Er1 0.5000 0.5000 0.5000
Th1 0.1662 0.8338 0.5000
Th2 0.8338 0.1662 0.5000
Bi1 0.0987 0.4282 0.2839
Bi2 0.2434 0.2434 0.7177
Bi3 0.4282 0.0987 0.2839
Bi4 0.5718 0.9013 0.7161
Bi5 0.7566 0.7566 0.2823
Bi6 0.9013 0.5718 0.7161

symmetry = C2/m, No. 12
raw total energy = -4.820 eV per atom
crystal system = monoclinic

Density functional theory data (GGA-PBE) for a geometry-optimized Ba2ErThBi4 structure.

a b c (Å): 8.1284 4.7498 8.5783
angles (deg): 90.00 108.81 90.00
Element x y z (fractional)
Ba1 0.0000 0.0000 0.0000
Ba2 0.5000 0.5000 0.0000
Er1 0.0000 0.5000 0.5000
Th1 0.5000 0.0000 0.5000
Bi1 0.2326 0.0000 0.7128
Bi2 0.2568 0.5000 0.2833
Bi3 0.7432 0.5000 0.7167
Bi4 0.7674 0.0000 0.2872

symmetry = P2/m, No. 10
raw total energy = -4.691 eV per atom
crystal system = monoclinic

Density functional theory data (GGA-PBE) for a geometry-optimized BaEuBi structure.

a b c (Å): 5.7740 5.7740 5.7740
angles (deg): 60.00 60.00 60.00
Element x y z (fractional)
Ba1 0.0000 0.0000 0.0000
Eu1 0.5000 0.5000 0.5000
Bi1 0.7500 0.7500 0.7500

symmetry = F-43m, No. 216
raw total energy = -6.017 eV per atom
crystal system = cubic

Density functional theory data (GGA-PBE) for a geometry-optimized BaEuBi structure.

a b c (Å): 6.9156 6.9156 6.9156
angles (deg): 142.40 142.40 54.23
Element x y z (fractional)
Ba1 0.0000 0.0000 0.0000
Eu1 0.7237 0.7237 0.0000
Bi1 0.3291 0.3291 0.0000

symmetry = I4mm, No. 107
raw total energy = -5.941 eV per atom
crystal system = tetragonal

The evaluated theoretical density for the records listed, in turn: 5.8 6.7 7.1 7.6 7.3 7.3 7.7 6.1 8.1 8.0 6.1 6.8 g cm⁻³.